A plane-wave DFT calculation with GGA-PBE was carried out for crystalline NaSr2TlI6 at its relaxed geometry.

Values from the calculation:
The calculation puts the final energy at -30.2 eV per cell. The formation energy from raw total energies comes out at -1340 kJ/mol of formula units. As for the symmetry: R3. The volume is 46.55 A^3/atom.

Unit cell a=8.4387 b=8.4388 c=8.9842 alpha=61.99 beta=61.98 gamma=60.01
Fractional positions:
I: 0.9161 0.6049 0.2415
Tl: 0.8126 0.8126 0.5621
Na: 0.3197 0.3198 0.0409
Sr: 0.5135 0.5135 0.4595
I: 0.3864 0.7267 0.7508
I: 0.1359 0.3865 0.7509
I: 0.7267 0.1359 0.7509
I: 0.6049 0.2376 0.2414
I: 0.2376 0.9161 0.2414
Sr: 0.0080 0.0080 0.9759